# 1
A geometry-optimized Er2NpMnO8 structure. Source: Alexandria, functional GGA+U.

Values from the calculation:
DFT total energy = -8.5352 eV per atom
Crystal system = triclinic

a = 4.952 Å, b = 4.952 Å, c = 6.881 Å
α = 86.41°, β = 93.52°, γ = 93.91°
Last column: magnetic moment on the atom in μB.
Atoms (fractional coordinates):
O 0.297 0.293 0.000  0.00
O 0.712 0.714 0.500  -0.02
O 0.288 0.286 0.500  -0.02
O 0.202 0.794 0.198  0.01
O 0.838 0.164 0.255  -0.04
O 0.798 0.206 0.802  0.01
O 0.703 0.707 0.000  0.00
O 0.162 0.836 0.745  -0.04
Er 0.530 0.471 0.267  0.01
Er 0.470 0.529 0.733  0.01
Np 0.000 0.000 0.000  0.06
Mn 0.000 0.000 0.500  3.88

# 2
A geometry-optimized ErNpMn2O8 structure. Source: Alexandria, functional GGA+U.

Values from the calculation:
DFT total energy = -8.3018 eV per atom
Crystal system = monoclinic

a = 4.794 Å, b = 4.794 Å, c = 6.829 Å
α = 85.61°, β = 85.61°, γ = 87.23°
Last column: magnetic moment on the atom in μB.
Atoms (fractional coordinates):
O 0.201 0.800 0.232  -0.04
O 0.287 0.287 0.962  -0.05
O 0.680 0.680 0.517  -0.05
O 0.200 0.800 0.768  -0.04
O 0.713 0.713 0.038  -0.05
O 0.320 0.320 0.483  -0.05
O 0.799 0.200 0.768  -0.04
O 0.800 0.200 0.232  -0.04
Mn 0.482 0.482 0.726  3.87
Mn 0.518 0.518 0.274  3.87
Er 0.000 0.000 0.500  0.01
Np 0.000 0.000 0.000  0.41

# 3
A geometry-optimized ErMnO2 structure. Source: Alexandria, functional GGA+U.

Values from the calculation:
DFT total energy = -7.9517 eV per atom
Crystal system = trigonal

a = 3.520 Å, b = 3.520 Å, c = 6.255 Å
α = 73.66°, β = 73.66°, γ = 60.00°
Last column: magnetic moment on the atom in μB.
Atoms (fractional coordinates):
O 0.891 0.891 0.327  -0.02
O 0.109 0.109 0.673  -0.02
Mn 0.000 0.000 0.000  4.17
Er 0.500 0.500 0.500  -0.03

# 4
A geometry-optimized ErMn2O4 structure. Source: Alexandria, functional GGA+U.

Values from the calculation:
DFT total energy = -7.8665 eV per atom
Crystal system = monoclinic

a = 6.448 Å, b = 6.448 Å, c = 6.253 Å
α = 61.48°, β = 61.48°, γ = 57.38°
Last column: magnetic moment on the atom in μB.
Atoms (fractional coordinates):
O 0.715 0.268 0.234  0.02
O 0.267 0.267 0.706  -0.03
O 0.268 0.715 0.234  0.02
O 0.733 0.733 0.294  -0.03
O 0.732 0.285 0.766  0.02
O 0.752 0.752 0.722  -0.01
O 0.248 0.248 0.278  -0.01
O 0.285 0.732 0.766  0.02
Mn 0.000 0.500 0.500  4.35
Mn 0.500 0.500 0.500  4.61
Mn 0.500 0.000 0.500  4.35
Mn 0.500 0.500 0.000  3.93
Er 0.875 0.875 0.889  0.08
Er 0.125 0.125 0.111  0.08

# 5
A geometry-optimized ErMn2O5 structure. Source: Alexandria, functional GGA+U.

Values from the calculation:
DFT total energy = -7.7530 eV per atom
Crystal system = orthorhombic

a = 5.778 Å, b = 7.299 Å, c = 8.525 Å
α = 90.00°, β = 90.00°, γ = 90.00°
Last column: magnetic moment on the atom in μB.
Atoms (fractional coordinates):
Mn 0.253 0.500 0.000  3.25
Mn 0.747 0.000 0.500  3.25
Mn 0.500 0.912 0.152  3.84
Mn 0.500 0.412 0.348  3.84
Mn 0.747 0.500 0.000  3.25
Mn 0.500 0.088 0.848  3.84
Mn 0.253 0.000 0.500  3.25
Mn 0.500 0.588 0.652  3.84
O 0.761 0.891 0.293  -0.07
O 0.731 0.500 0.500  -0.05
O 0.500 0.150 0.428  -0.03
O 0.269 0.500 0.500  -0.05
O 0.761 0.109 0.707  -0.07
O 0.000 0.335 0.941  -0.05
O 0.239 0.609 0.793  -0.07
O 0.239 0.109 0.707  -0.07
O 0.500 0.350 0.928  -0.03
O 0.500 0.650 0.072  -0.03
O 0.761 0.391 0.207  -0.07
O 0.269 0.000 0.000  -0.05
O 0.000 0.835 0.559  -0.05
O 0.500 0.850 0.572  -0.03
O 0.239 0.391 0.207  -0.07
O 0.761 0.609 0.793  -0.07
O 0.731 0.000 0.000  -0.05
O 0.000 0.165 0.441  -0.05
O 0.000 0.665 0.059  -0.05
O 0.239 0.891 0.293  -0.07
Er 0.000 0.863 0.830  0.04
Er 0.000 0.137 0.170  0.04
Er 0.000 0.363 0.670  0.04
Er 0.000 0.637 0.330  0.04

# 6
A geometry-optimized Er3MnO7 structure. Source: Alexandria, functional GGA+U.

Values from the calculation:
DFT total energy = -7.8896 eV per atom
Crystal system = orthorhombic

a = 6.335 Å, b = 6.335 Å, c = 7.294 Å
α = 90.00°, β = 90.00°, γ = 109.59°
Last column: magnetic moment on the atom in μB.
Atoms (fractional coordinates):
Er 0.995 0.539 0.746  0.01
Er 0.521 0.521 0.000  0.03
Er 0.005 0.461 0.246  0.01
Er 0.461 0.005 0.754  0.01
Er 0.539 0.995 0.254  0.01
Er 0.479 0.479 0.500  0.03
O 0.630 0.370 0.750  -0.03
O 0.079 0.325 0.528  -0.15
O 0.370 0.630 0.250  -0.03
O 0.682 0.928 0.535  -0.25
O 0.072 0.318 0.965  -0.25
O 0.921 0.675 0.028  -0.15
O 0.365 0.635 0.750  -0.20
O 0.318 0.072 0.035  -0.25
O 0.928 0.682 0.465  -0.25
O 0.325 0.079 0.472  -0.15
O 0.675 0.921 0.972  -0.15
O 0.930 0.070 0.250  -0.15
O 0.635 0.365 0.250  -0.20
O 0.070 0.930 0.750  -0.15
Mn 0.001 0.001 0.500  3.23
Mn 0.999 0.999 0.000  3.23